(1)
First-principles (PBE) data for a geometry-optimized Pm3Pu2Sn3 structure, as listed in the Alexandria database.

POSCAR file:
```
Pm3Pu2Sn3
1.0
9.3995 0.0000 0.0000
-4.6997 8.1402 0.0000
0.0000 0.0000 6.3071
Pm Pu Sn
6 4 6
Direct
0.0000 0.2692 0.2500
0.0000 0.7308 0.7500
0.2692 0.0000 0.2500
0.2692 0.2692 0.7500
0.7308 0.0000 0.7500
0.7308 0.7308 0.2500
0.3333 0.6667 0.0000
0.3333 0.6667 0.5000
0.6667 0.3333 0.0000
0.6667 0.3333 0.5000
0.0000 0.3784 0.7500
0.0000 0.6216 0.2500
0.3784 0.0000 0.7500
0.3784 0.3784 0.2500
0.6216 0.0000 0.2500
0.6216 0.6216 0.7500
```

Calculated formation energy: -0.53 eV per atom
Crystal system: hexagonal

(2)
First-principles (PBE) data for a geometry-optimized TiMnPOsS structure, as listed in the Alexandria database.

POSCAR file:
```
TiMnPOsS
1.0
4.2499 -1.7929 0.0000
4.2499 1.7929 0.0000
-1.3174 0.0000 5.1045
Ti Mn P Os S
1 1 1 1 1
Direct
0.0000 0.0000 0.0000
0.6510 0.6510 0.4455
0.9458 0.9458 0.4954
0.3291 0.3291 0.2133
0.6997 0.6997 0.9212
```

Crystal system: monoclinic
Formation energy (no corrections): -10.59 kcal/mol of atoms
Distance to the lowest polymorph of the same formula: 72 meV per atom

(3)
First-principles (PBE) data for a geometry-optimized MgGe3Os structure, as listed in the Alexandria database.

POSCAR file:
```
MgGe3Os
1.0
4.8421 0.0000 0.0000
0.0000 4.8421 0.0000
0.0000 0.0000 4.8421
Mg Ge Os
1 3 1
Direct
0.0000 0.0000 0.0000
0.0000 0.5000 0.5000
0.5000 0.0000 0.5000
0.5000 0.5000 0.0000
0.5000 0.5000 0.5000
```

Calculated formation energy: 0.39 eV per atom
Crystal system: cubic

(4)
First-principles (PBE) data for a geometry-optimized Si2WSe structure, as listed in the Alexandria database.

POSCAR file:
```
Si2WSe
1.0
4.8464 0.0000 0.0000
1.4759 4.7340 0.0000
2.4106 0.0025 5.8568
Si W Se
4 2 2
Direct
0.0000 0.0000 0.0000
0.1643 0.5973 0.6614
0.4988 0.6666 0.1191
0.7096 0.5347 0.4802
0.0960 0.4663 0.0755
0.9203 0.9677 0.4203
0.3429 0.1789 0.4100
0.5865 0.0823 0.8553
```

Crystal system: triclinic
Formation energy (no corrections): 1.81 kcal/mol of atoms

(5)
First-principles (PBE) data for a geometry-optimized LiInCl2 structure, as listed in the Alexandria database.

POSCAR file:
```
LiInCl2
1.0
-3.5577 3.5577 4.2740
3.5577 -3.5577 4.2740
3.5577 3.5577 -4.2740
Li In Cl
2 2 4
Direct
0.0000 0.0000 0.0000
0.7500 0.2500 0.5000
0.2500 0.7500 0.5000
0.5000 0.5000 0.0000
0.0423 0.1250 0.4173
0.3750 0.9577 0.0827
0.7077 0.6250 0.5827
0.8750 0.2923 0.9173
```

Crystal system: tetragonal
Formation energy (no corrections): -29.30 kcal/mol of atoms
Distance to the lowest polymorph of the same formula: 35 meV per atom

(6)
First-principles (PBE) data for a geometry-optimized CoAsPb3 structure, as listed in the Alexandria database.

POSCAR file:
```
CoAsPb3
1.0
5.0540 0.0000 0.0000
0.0000 5.0540 0.0000
0.0000 0.0000 5.0540
Co As Pb
1 1 3
Direct
0.0000 0.0000 0.0000
0.5000 0.5000 0.5000
0.0000 0.0000 0.5000
0.0000 0.5000 0.0000
0.5000 0.0000 0.0000
```

Calculated formation energy: 0.24 eV per atom
Crystal system: cubic
Distance to the lowest polymorph of the same formula: 0 meV per atom

(7)
First-principles (PBE) data for a geometry-optimized NaNbSn2B structure, as listed in the Alexandria database.

POSCAR file:
```
NaNbSn2B
1.0
5.3633 0.0000 0.0000
0.0000 5.3633 0.0000
0.0000 0.0000 5.7795
Na Nb Sn B
1 1 2 1
Direct
0.0000 0.0000 0.0000
0.0000 0.0000 0.5000
0.0000 0.5000 0.5000
0.5000 0.0000 0.5000
0.5000 0.5000 0.0000
```

Calculated formation energy: 1.54 eV per atom
Crystal system: tetragonal

(8)
First-principles (PBE) data for a geometry-optimized ScTaBe2 structure, as listed in the Alexandria database.

POSCAR file:
```
ScTaBe2
1.0
-3.4266 3.4266 2.5974
3.4266 -3.4266 2.5974
3.4266 3.4266 -2.5974
Sc Ta Be
2 2 4
Direct
0.0000 0.0000 0.0000
0.7500 0.2500 0.5000
0.2500 0.7500 0.5000
0.5000 0.5000 0.0000
0.1360 0.6250 0.0110
0.3750 0.3860 0.5110
0.6140 0.1250 0.9890
0.8750 0.8640 0.4890
```

Calculated formation energy: 0.57 eV per atom
Crystal system: tetragonal
Distance to the lowest polymorph of the same formula: 574 meV per atom

(9)
First-principles (PBE) data for a geometry-optimized Nd5SmEr structure, as listed in the Alexandria database.

POSCAR file:
```
Nd5SmEr
1.0
-2.9598 4.3924 6.0783
2.9598 -4.3924 6.0783
2.9598 4.3924 -6.0783
Nd Sm Er
5 1 1
Direct
0.0000 0.0000 0.0000
0.2486 0.7486 0.5000
0.3238 0.5000 0.8238
0.6762 0.5000 0.1762
0.7514 0.2514 0.5000
0.0000 0.5000 0.5000
0.5000 0.0000 0.5000
```

Calculated formation energy: 0.97 eV per atom
Crystal system: orthorhombic

(10)
First-principles (PBE) data for a geometry-optimized FeAsOs structure, as listed in the Alexandria database.

POSCAR file:
```
FeAsOs
1.0
-1.4955 1.4955 4.6271
1.4955 -1.4955 4.6271
1.4955 1.4955 -4.6271
Fe As Os
1 1 1
Direct
0.0000 0.0000 0.0000
0.6572 0.6572 0.0000
0.3175 0.3175 0.0000
```

Calculated formation energy: 0.30 eV per atom
Crystal system: tetragonal
Distance to the lowest polymorph of the same formula: 122 meV per atom

(11)
First-principles (PBE) data for a geometry-optimized CrCo2Mo structure, as listed in the Alexandria database.

POSCAR file:
```
CrCo2Mo
1.0
0.0000 2.8955 2.8955
2.8955 0.0000 2.8955
2.8955 2.8955 0.0000
Cr Co Mo
1 2 1
Direct
0.0000 0.0000 0.0000
0.5000 0.5000 0.5000
0.7500 0.7500 0.7500
0.2500 0.2500 0.2500
```

Calculated formation energy: 0.21 eV per atom
Crystal system: cubic
Distance to the lowest polymorph of the same formula: 175 meV per atom

(12)
First-principles (PBE) data for a geometry-optimized Hf2ZrZn2 structure, as listed in the Alexandria database.

POSCAR file:
```
Hf2ZrZn2
1.0
8.1022 0.0000 0.0000
0.0000 8.1022 0.0000
0.0000 0.0000 2.9943
Hf Zr Zn
4 2 4
Direct
0.1330 0.3670 0.0000
0.3670 0.8670 0.0000
0.6330 0.1330 0.0000
0.8670 0.6330 0.0000
0.0000 0.0000 0.0000
0.5000 0.5000 0.0000
0.1670 0.6670 0.5000
0.3330 0.1670 0.5000
0.6670 0.8330 0.5000
0.8330 0.3330 0.5000
```

Calculated formation energy: 0.05 eV per atom
Crystal system: tetragonal
Distance to the lowest polymorph of the same formula: 172 meV per atom

(13)
First-principles (PBE) data for a geometry-optimized ZrTa2GaH structure, as listed in the Alexandria database.

POSCAR file:
```
ZrTa2GaH
1.0
4.0591 0.0000 0.0000
0.0000 4.0591 0.0000
0.0000 0.0000 4.6273
Zr Ta Ga H
1 2 1 1
Direct
0.0000 0.0000 0.0000
0.0000 0.5000 0.5000
0.5000 0.0000 0.5000
0.5000 0.5000 0.0000
0.0000 0.0000 0.5000
```

Crystal system: tetragonal
Calculated total energy: -7.905 eV per atom

(14)
First-principles (PBE) data for a geometry-optimized Ba3LaTh2As6 structure, as listed in the Alexandria database.

POSCAR file:
```
Ba3LaTh2As6
1.0
3.8708 -6.7072 0.0000
3.8708 6.7072 0.0000
-2.5830 0.0000 7.5508
Ba La Th As
3 1 2 6
Direct
0.0000 0.0000 0.0000
0.3348 0.6652 0.0000
0.6652 0.3348 0.0000
0.5000 0.5000 0.5000
0.1669 0.8331 0.5000
0.8331 0.1669 0.5000
0.0870 0.4284 0.2855
0.2298 0.2298 0.7139
0.4284 0.0870 0.2855
0.5716 0.9130 0.7145
0.7702 0.7702 0.2861
0.9130 0.5716 0.7145
```

Calculated formation energy: -1.27 eV per atom
Crystal system: monoclinic

(15)
First-principles (PBE) data for a geometry-optimized K2Rb4AlPb2 structure, as listed in the Alexandria database.

POSCAR file:
```
K2Rb4AlPb2
1.0
7.9459 -4.2104 0.0000
7.9459 4.2104 0.0000
-2.2484 0.0000 6.7524
K Rb Al Pb
2 4 1 2
Direct
0.1360 0.1360 0.2573
0.8640 0.8640 0.7427
0.1398 0.6041 0.2726
0.3959 0.8602 0.7274
0.6041 0.1398 0.2726
0.8602 0.3959 0.7274
0.5000 0.5000 0.0000
0.3351 0.3351 0.7424
0.6649 0.6649 0.2576
```

Calculated formation energy: 0.00 eV per atom
Crystal system: monoclinic

(16)
First-principles (PBE) data for a geometry-optimized Y6Zn5Au structure, as listed in the Alexandria database.

POSCAR file:
```
Y6Zn5Au
1.0
2.5348 -7.6075 0.0000
2.5348 7.6075 0.0000
0.0000 0.0000 7.1721
Y Zn Au
6 5 1
Direct
0.0000 0.0000 0.2495
0.0000 0.0000 0.7505
0.3332 0.6668 0.2482
0.3332 0.6668 0.7518
0.6668 0.3332 0.2482
0.6668 0.3332 0.7518
0.1677 0.8323 0.0000
0.1719 0.8281 0.5000
0.5000 0.5000 0.0000
0.8281 0.1719 0.5000
0.8323 0.1677 0.0000
0.5000 0.5000 0.5000
```

Calculated formation energy: -0.44 eV per atom
Crystal system: orthorhombic

(17)
First-principles (PBE) data for a geometry-optimized TbDyZnSi structure, as listed in the Alexandria database.

POSCAR file:
```
TbDyZnSi
1.0
4.0682 0.0000 0.0000
0.0000 2.0957 5.4127
0.0000 -2.0957 5.4127
Tb Dy Zn Si
1 1 1 1
Direct
0.0000 0.0000 0.0000
0.5000 0.2836 0.2836
0.5000 0.5730 0.5730
0.0000 0.7166 0.7166
```

Crystal system: orthorhombic
Formation energy (no corrections): -13.08 kcal/mol of atoms
Distance to the lowest polymorph of the same formula: 0 meV per atom

(18)
First-principles (PBE) data for a geometry-optimized SmNp2Tl3Se6 structure, as listed in the Alexandria database.

POSCAR file:
```
SmNp2Tl3Se6
1.0
3.6725 -6.3602 0.0000
3.6725 6.3602 0.0000
-2.4478 0.0000 7.7629
Sm Np Tl Se
1 2 3 6
Direct
0.0000 0.0000 0.0000
0.3332 0.6668 0.0000
0.6668 0.3332 0.0000
0.1659 0.8341 0.5000
0.5000 0.5000 0.5000
0.8341 0.1659 0.5000
0.0686 0.4065 0.2058
0.2696 0.2696 0.7951
0.4065 0.0686 0.2058
0.5935 0.9314 0.7942
0.7304 0.7304 0.2049
0.9314 0.5935 0.7942
```

Crystal system: monoclinic
Formation energy (no corrections): -24.32 kcal/mol of atoms

(19)
First-principles (PBE) data for a geometry-optimized K2GeTe structure, as listed in the Alexandria database.

POSCAR file:
```
K2GeTe
1.0
0.0000 4.1484 4.1484
4.1484 0.0000 4.1484
4.1484 4.1484 0.0000
K Ge Te
2 1 1
Direct
0.2500 0.2500 0.2500
0.7500 0.7500 0.7500
0.0000 0.0000 0.0000
0.5000 0.5000 0.5000
```

Crystal system: cubic
Formation energy (no corrections): -3.12 kcal/mol of atoms
Distance to the lowest polymorph of the same formula: 0 meV per atom

(20)
First-principles (PBE) data for a geometry-optimized CsLiTe2 structure, as listed in the Alexandria database.

POSCAR file:
```
CsLiTe2
1.0
3.5969 -2.8514 0.0000
3.5969 2.8514 0.0000
-2.8514 0.0000 7.3821
Cs Li Te
1 1 2
Direct
0.0000 0.0000 0.0000
0.0000 0.0000 0.5000
0.4471 0.4471 0.6528
0.5529 0.5529 0.3472
```

Crystal system: monoclinic
Formation energy (no corrections): -16.21 kcal/mol of atoms
Distance to the lowest polymorph of the same formula: 122 meV per atom

| no. | mass density (g/cm³) |
| --- | --- |
| 1 | 8.80 |
| 2 | 7.60 |
| 3 | 6.33 |
| 4 | 7.88 |
| 5 | 2.96 |
| 6 | 9.72 |
| 7 | 3.64 |
| 8 | 6.64 |
| 9 | 5.46 |
| 10 | 12.88 |
| 11 | 9.09 |
| 12 | 9.78 |
| 13 | 11.41 |
| 14 | 6.20 |
| 15 | 3.17 |
| 16 | 6.35 |
| 17 | 7.46 |
| 18 | 7.84 |
| 19 | 3.24 |
| 20 | 4.33 |